Entry 1:
VASP calculation (PBE) on a relaxed CeNd2Cd crystal.

a b c (Å): 5.678 5.678 3.645
angles (deg): 90.00 90.00 90.00
Space group P4/mmm (No. 123)
Asymmetric unit:
Ce 0.000 0.000 0.000
Nd 0.000 0.500 0.500
Cd 0.500 0.500 0.000

Properties
Calculated total energy (eV for the cell shown): -16.63
D(E_F) (states/eV/f.u.): 7.39
Energy of formation from the pure elements (meV/atom): -62.3


Entry 2:
VASP calculation (PBE) on a relaxed CeNdCd2 crystal.

a b c (Å): 7.697 7.697 7.697
angles (deg): 90.00 90.00 90.00
Space group Fm-3m (No. 225)
Asymmetric unit:
Ce 0.000 0.000 0.000
Nd 0.000 0.000 0.500
Cd 0.250 0.250 0.250

Properties
Calculated total energy (eV for the cell shown): -53.50
D(E_F) (states/eV/f.u.): 10.80
Energy of formation from the pure elements (meV/atom): -210.9


The evaluated offset from the most stable computed form for the records listed, in turn: 50 4 meV/atom.